# PBE-GGA CsTlTe, optimized geometry
data_CsTlTe
_chemical_formula_sum 'Cs1 Tl1 Te1'
_space_group_name_H-M_alt 'P 1'
_space_group_IT_number 1
_cell_length_a 6.3423
_cell_length_b 5.1087
_cell_length_c 5.1087
_cell_angle_alpha 120.00
_cell_angle_beta 90.00
_cell_angle_gamma 90.00
loop_
_space_group_symop_operation_xyz
'x,y,z'
loop_
_atom_site_label
_atom_site_fract_x
_atom_site_fract_y
_atom_site_fract_z
Cs1 0.6496 0.6667 0.3333
Te1 0.2816 0.3333 0.6667
Tl1 0.0688 0.0000 0.0000
# VASP energy (eV/atom): -2.7862